# TaWOF2 | the Alexandria database | PBE+U | optimized geometry
data_TaWOF2
_chemical_formula_sum 'Ta1 W1 O1 F2'
_cell_length_a 4.243
_cell_length_b 4.243
_cell_length_c 4.350
_cell_angle_alpha 90.00
_cell_angle_beta 90.00
_cell_angle_gamma 90.00
_symmetry_space_group_name_H-M 'P 4/m m m'
_symmetry_Int_Tables_number 123
_symmetry_space_group_name_Hall '-P 4 2'
loop_
_atom_site_label
_atom_site_fract_x
_atom_site_fract_y
_atom_site_fract_z
Ta1 0.000 0.000 0.000
W1 0.500 0.500 0.500
O1 0.500 0.500 0.000
F1 0.000 0.500 0.500
# magnetic moment: 6.73 μB/f.u.
# calculated total energy: -29.9 eV per cell
# crystal system: tetragonal